[1]
The following is a DFT calculation (PBE) of a geometry-optimized Nd2Sm6Al structure.

Cell: 10.0614 10.4761 5.5267 Å, 90.00 90.00 90.00°
Space group Pnnm (No. 58)
One atom of each set of equivalent atoms:
1 Nd 0.1964 0.2447 0.0000 (multiplicity 4)
2 Sm 0.0201 0.3097 0.5000 (multiplicity 4)
3 Sm 0.1333 0.8952 0.0000 (multiplicity 4)
4 Sm 0.1892 0.5690 0.0000 (multiplicity 4)
5 Al 0.0000 0.0000 0.5000 (multiplicity 2)

Calculated values
**Magnetization**: 0.0 μB/f.u.
**Final energy**: -4.626 eV per atom

***

[2]
The following is a DFT calculation (PBE) of a geometry-optimized Pu3Ru2 structure.

Cell: 9.0248 4.2389 5.2599 Å, 90.00 121.20 90.00°
Space group C2/m (No. 12)
One atom of each set of equivalent atoms:
1 Pu 0.0000 0.0000 0.0000 (multiplicity 2)
2 Pu 0.2003 0.0000 0.5514 (multiplicity 4)
3 Ru 0.1130 0.5000 0.8006 (multiplicity 4)

Calculated values
**Magnetization**: 0.5 μB/f.u.
**Final energy**: -12.268 eV per atom

***

[3]
The following is a DFT calculation (PBE) of a geometry-optimized Dy5Er5Th2 structure.

Cell: 16.9752 5.5845 9.7100 Å, 90.00 124.79 90.00°
Space group C2/m (No. 12)
One atom of each set of equivalent atoms:
1 Dy 0.0000 0.0000 0.0000 (multiplicity 2)
2 Dy 0.1265 0.0000 0.4548 (multiplicity 4)
3 Dy 0.2502 0.0000 0.2487 (multiplicity 4)
4 Er 0.0000 0.5000 0.5000 (multiplicity 2)
5 Er 0.1249 0.5000 0.9573 (multiplicity 4)
6 Er 0.1262 0.5000 0.2922 (multiplicity 4)
7 Th 0.1216 0.0000 0.7802 (multiplicity 4)

Calculated values
**Magnetization**: 0.0 μB/f.u.
**Final energy**: -4.951 eV per atom
**Energy above the lowest structure with this stoichiometry**: 0.0781 eV/atom

***

[4]
The following is a DFT calculation (PBE) of a geometry-optimized PuAl3PdAu structure.

Cell: 5.9492 13.2978 5.8079 Å, 90.00 90.00 90.00°
Space group Cmcm (No. 63)
One atom of each set of equivalent atoms:
1 Pu 0.0000 0.1995 0.2500 (multiplicity 4)
2 Al 0.0000 0.3693 0.7500 (multiplicity 4)
3 Al 0.2182 0.0000 0.0000 (multiplicity 8)
4 Pd 0.0000 0.4061 0.2500 (multiplicity 4)
5 Au 0.0000 0.1643 0.7500 (multiplicity 4)

Calculated values
**Magnetization**: 5.6 μB/f.u.
**Final energy**: -6.052 eV per atom

***

[5]
The following is a DFT calculation (PBE) of a geometry-optimized Na2BiH structure.

Cell: 7.4696 7.4696 7.4696 Å, 90.00 90.00 90.00°
Space group Fm-3m (No. 225)
One atom of each set of equivalent atoms:
1 Na 0.2500 0.2500 0.2500 (multiplicity 8)
2 Bi 0.0000 0.0000 0.0000 (multiplicity 4)
3 H 0.0000 0.0000 0.5000 (multiplicity 4)

Calculated values
**Magnetization**: 2.0 μB/f.u.
**Final energy**: -2.148 eV per atom
**Energy above the lowest structure with this stoichiometry**: 0.5293 eV/atom

***

[6]
The following is a DFT calculation (PBE) of a geometry-optimized HfGeTe structure.

Cell: 5.5256 3.7693 13.0644 Å, 90.00 90.00 90.00°
Space group Pnma (No. 62)
One atom of each set of equivalent atoms:
1 Hf 0.2497 0.2500 0.1356 (multiplicity 4)
2 Ge 0.0006 0.2500 0.7501 (multiplicity 4)
3 Te 0.2499 0.2500 0.4579 (multiplicity 4)

Calculated values
**Magnetization**: 0.0 μB/f.u.
**Final energy**: -6.386 eV per atom
**Energy above the lowest structure with this stoichiometry**: 0.1866 eV/atom
**Energy relative to the elements, uncorrected**: -481 meV per atom